[1]
The following is a DFT calculation (PBE) of a geometry-optimized AcDyInPt structure.

The space group is F-43m (No. 216) and the conventional cell measures 7.599, 7.599 and 7.599 Å, with angles of 90.00, 90.00 and 90.00 degrees. The inequivalent atoms are Ac at (0.000, 0.000, 0.000), Dy at (0.000, 0.000, 0.500), In at (0.250, 0.250, 0.750) and Pt at (0.250, 0.250, 0.250).

For the total energy, the calculation gives -4.980 eV/atom.

---

[2]
The following is a DFT calculation (PBE) of a geometry-optimized Mg2F structure.

The space group is R3m (No. 160, hexagonal axes) and the conventional cell measures 3.1574, 3.1574 and 21.3053 Å, with angles of 90.00, 90.00 and 120.00 degrees. The inequivalent atoms are Mg at (0.0000, 0.0000, 0.0000), Mg at (0.0000, 0.0000, 0.4576) and F at (0.0000, 0.0000, 0.6225).

The value obtained for the energy above the lowest structure with this stoichiometry is 95 meV per atom. The uncorrected formation energy comes out at -1469 meV/atom.

---

[3]
The following is a DFT calculation (PBE) of a geometry-optimized Sr2YBi structure.

The space group is I-42d (No. 122) and the conventional cell measures 9.987, 9.987 and 6.741 Å, with angles of 90.00, 90.00 and 90.00 degrees. The inequivalent atoms are Sr at (0.195, 0.250, 0.125), Y at (0.000, 0.000, 0.500) and Bi at (0.000, 0.000, 0.000).

For the total energy, the calculation gives -3.491 eV/atom.

---

[4]
The following is a DFT calculation (PBE) of a geometry-optimized Cs2U3S8Br structure.

The space group is R3m (No. 160, hexagonal axes) and the conventional cell measures 7.9405, 7.9405 and 26.7836 Å, with angles of 90.00, 90.00 and 120.00 degrees. The inequivalent atoms are Cs at (0.0000, 0.0000, 0.0000), Cs at (0.0000, 0.0000, 0.3574), U at (0.1681, 0.3361, 0.1889), S at (0.0000, 0.0000, 0.1361), S at (0.0000, 0.0000, 0.5735), S at (0.0297, 0.5148, 0.1379), S at (0.1819, 0.3638, 0.9075) and Br at (0.0000, 0.0000, 0.6909).

The uncorrected formation energy comes out at -1255 meV/atom.

---

[5]
The following is a DFT calculation (PBE) of a geometry-optimized Rb2H3F6 structure.

The space group is C2/c (No. 15) and the conventional cell measures 13.400, 7.740 and 11.403 Å, with angles of 90.00, 113.59 and 90.00 degrees. The inequivalent atoms are Rb at (0.090, 0.250, 0.019), H at (0.000, 0.038, 0.250), H at (0.144, 0.397, 0.752), F at (0.004, 0.037, 0.352), F at (0.094, 0.439, 0.648) and F at (0.192, 0.354, 0.855).

For the total energy, the calculation gives -4.006 eV/atom.

---

[6]
The following is a DFT calculation (PBE) of a geometry-optimized U2SnCl11 structure.

The space group is Ibam (No. 72) and the conventional cell measures 11.793, 11.793 and 13.366 Å, with angles of 90.00, 90.00 and 90.00 degrees. The inequivalent atoms are U at (0.165, 0.166, 0.000), Sn at (0.000, 0.500, 0.250), Cl at (0.000, 0.000, 0.000), Cl at (0.062, 0.283, 0.136), Cl at (0.188, 0.188, 0.500) and Cl at (0.217, 0.437, 0.364).

The uncorrected formation energy comes out at -1448 meV/atom.

---

[7]
The following is a DFT calculation (PBE) of a geometry-optimized VCr4Pt structure.

The space group is F-43m (No. 216) and the conventional cell measures 6.721, 6.721 and 6.721 Å, with angles of 90.00, 90.00 and 90.00 degrees. The inequivalent atoms are V at (0.000, 0.000, 0.000), Cr at (0.127, 0.127, 0.627) and Pt at (0.250, 0.250, 0.250).

For the total energy, the calculation gives -8.982 eV/atom.

---

[8]
The following is a DFT calculation (PBE) of a geometry-optimized CsNaCd3 structure.

The space group is Pm-3m (No. 221) and the conventional cell measures 5.963, 5.963 and 5.963 Å, with angles of 90.00, 90.00 and 90.00 degrees. The inequivalent atoms are Cs at (0.000, 0.000, 0.000), Na at (0.500, 0.500, 0.500) and Cd at (0.000, 0.500, 0.500).

The value obtained for the energy above the lowest structure with this stoichiometry is 206 meV per atom.